TiTlO2 (PBEsol, relaxed); E_form (uncorrected) = -3.83 eV per formula unit
1.0
1.696 0.979 6.873
-1.696 0.979 6.873
0.000 -1.958 6.873
Ti Tl O
1 1 2
direct
0.000 0.000 0.000
0.500 0.500 0.500
0.087 0.087 0.087
0.913 0.913 0.913